Below is a crystal of CuSb2TeW relaxed with PBEsol, with properties calculated at the meta-GGA SCAN level.

Unit cell a=5.1627 b=5.1883 c=5.1883 alpha=90.00 beta=90.00 gamma=90.00
With the nearest neighbours (Å) after each atom.
Positions (direct):
W: 0.0000 0.0000 0.0000  2 Te 2.58, 4 Sb 2.59
Cu: 0.5000 0.5000 0.5000  8 Sb 3.66, 4 Te 3.67
Te: 0.5000 0.0000 0.0000  2 W 2.58
Sb: 0.0000 0.0000 0.5000  2 W 2.59
Sb: 0.0000 0.5000 0.0000  2 W 2.59

## Properties
Its space group is P4/mmm. The calculation puts the formation energy without anion corrections at 1.055 eV per atom.